1.
A plane-wave DFT calculation with GGA-PBE was carried out for a relaxed structure of Fe3Ni2Pt3.

Structure (POSCAR):
```
Fe3Ni2Pt3
1.0
-1.862 1.907 7.499
1.862 -1.907 7.499
1.862 1.907 -7.499
Fe Ni Pt
3 2 3
Cartesian
0.000 0.000 0.000
1.862 0.000 5.524
0.000 1.907 1.975
0.000 0.000 3.769
0.000 0.000 11.229
1.862 0.000 1.956
0.000 0.000 7.499
0.000 1.907 5.543
```

The magnetic moment is 11.6 μB per cell. As for the space group: Immm (71). The formation energy is -192 meV per atom. Its crystal system is orthorhombic.

2.
A plane-wave DFT calculation with GGA-PBE was carried out for a relaxed structure of TbGa2Pb.

Structure (POSCAR):
```
TbGa2Pb
1.0
4.564 0.000 0.000
0.000 4.564 0.000
0.000 0.000 4.381
Tb Ga Pb
1 2 1
Cartesian
0.000 0.000 0.000
0.000 2.282 2.191
2.282 0.000 2.191
2.282 2.282 0.000
```

The magnetic moment is 0.0 μB per cell. The calculation puts the energy above the lowest structure with this stoichiometry at 0 meV/atom. As for the space group: P4/mmm (123). The formation energy is -386 meV per atom. Its crystal system is tetragonal.

3.
A plane-wave DFT calculation with GGA-PBE was carried out for a relaxed structure of La6Sm2Er3Mg.

Structure (POSCAR):
```
La6Sm2Er3Mg
1.0
3.149 -5.457 0.000
3.149 5.457 0.000
-2.102 0.000 11.717
La Sm Er Mg
6 2 3 1
Cartesian
-0.012 1.807 8.811
1.037 0.000 2.904
-0.012 -1.807 8.811
4.208 1.807 2.907
3.158 0.000 8.813
4.208 -1.807 2.907
2.098 1.822 5.859
2.098 -1.822 5.859
3.149 3.637 0.000
3.149 0.000 0.000
3.149 -3.637 0.000
-1.051 0.000 5.859
```

The magnetic moment is 0.0 μB per cell. As for the space group: C2/m (12). The formation energy is 15 meV per atom. Its crystal system is monoclinic.

4.
A plane-wave DFT calculation with GGA-PBE was carried out for a relaxed structure of La2LuTl.

Structure (POSCAR):
```
La2LuTl
1.0
4.908 0.000 0.000
0.000 4.908 0.000
0.000 0.000 5.122
La Lu Tl
2 1 1
Cartesian
0.000 2.454 0.000
2.454 0.000 0.000
0.000 0.000 2.561
2.454 2.454 2.561
```

The magnetic moment is 0.1 μB per cell. The calculation puts the energy above the lowest structure with this stoichiometry at 0 meV/atom. As for the space group: P4/mmm (123). The formation energy is -194 meV per atom. Its crystal system is tetragonal.

5.
A plane-wave DFT calculation with GGA-PBE was carried out for a relaxed structure of Na2PtSe2.

Structure (POSCAR):
```
Na2PtSe2
1.0
6.881 0.000 0.000
0.000 6.881 0.000
0.000 0.000 4.570
Na Pt Se
4 2 4
Cartesian
1.079 2.361 0.000
2.361 5.802 0.000
4.520 1.079 0.000
5.802 4.520 0.000
0.000 0.000 2.285
3.441 3.441 2.285
1.134 4.574 2.285
2.307 1.134 2.285
4.574 5.747 2.285
5.747 2.307 2.285
```

The magnetic moment is 0.0 μB per cell. Its energy relative to the elements, uncorrected is -0.6413 eV per atom. As for the space group: P4/mbm (127). Its crystal system is tetragonal.

6.
A plane-wave DFT calculation with GGA-PBE was carried out for a relaxed structure of BaEuBiAu.

Structure (POSCAR):
```
BaEuBiAu
1.0
0.000 4.069 4.069
4.069 0.000 4.069
4.069 4.069 0.000
Ba Eu Bi Au
1 1 1 1
Cartesian
0.000 0.000 0.000
4.069 4.069 4.069
2.035 2.035 2.035
6.104 6.104 6.104
```

The magnetic moment is 7.0 μB per cell. As for the space group: F-43m (216). The formation energy is -819 meV per atom. Its crystal system is cubic.

7.
A plane-wave DFT calculation with GGA-PBE was carried out for a relaxed structure of CsSrF3.

Structure (POSCAR):
```
CsSrF3
1.0
4.884 -7.023 0.000
4.884 7.023 0.000
0.000 0.000 6.469
Cs Sr F
4 4 12
Cartesian
2.442 2.165 1.617
2.442 -2.165 4.852
7.325 2.165 1.617
7.325 -2.165 4.852
4.884 5.342 1.974
4.884 1.681 5.209
4.884 -1.681 1.260
4.884 -5.342 4.495
4.884 6.301 4.390
2.442 1.697 4.852
4.884 3.693 0.127
4.884 3.330 3.362
2.442 -1.697 1.617
4.884 0.722 1.155
4.884 -0.722 5.314
7.325 1.697 4.852
4.884 -3.330 3.107
4.884 -3.693 6.342
7.325 -1.697 1.617
4.884 -6.301 2.079
```

The magnetic moment is 0.3 μB per cell. The calculation puts the energy above the lowest structure with this stoichiometry at 69 meV/atom. Its energy relative to the elements, uncorrected is -3.3643 eV per atom. As for the space group: Cmce (64). Its crystal system is orthorhombic.

8.
A plane-wave DFT calculation with GGA-PBE was carried out for a relaxed structure of SrCrIr2.

Structure (POSCAR):
```
SrCrIr2
1.0
2.193 1.266 5.458
-2.193 1.266 5.458
0.000 -2.532 5.458
Sr Cr Ir
1 1 2
Cartesian
0.000 0.000 0.000
0.000 0.000 3.186
0.000 0.000 7.816
0.000 0.000 13.199
```

The magnetic moment is 3.4 μB per cell. The calculation puts the energy above the lowest structure with this stoichiometry at 28 meV/atom. As for the space group: R3m (160). The formation energy is 54 meV per atom. Its crystal system is trigonal.